Entry 1:
Entry from Alexandria via LeMat-Bulk: crystalline SrPH10S3O5 at its relaxed geometry (PBE).

Geometry as POSCAR:
```
SrPH10S3O5
1.0
8.319 0.000 0.000
-0.335 9.249 0.000
-2.327 -0.467 12.709
Sr P H S O
4 4 40 12 20
Direct
0.002 0.496 0.176
0.482 0.993 0.323
0.518 0.007 0.677
0.998 0.504 0.824
0.109 0.427 0.512
0.454 0.113 0.999
0.546 0.887 0.001
0.891 0.573 0.488
0.024 0.257 0.990
0.041 0.776 0.687
0.061 0.757 0.330
0.102 0.846 0.233
0.103 0.092 0.221
0.154 0.818 0.795
0.161 0.122 0.656
0.168 0.719 0.035
0.194 0.028 0.134
0.216 0.088 0.776
0.223 0.077 0.479
0.242 0.910 0.485
0.289 0.461 0.055
0.346 0.358 0.146
0.367 0.578 0.907
0.375 0.407 0.900
0.380 0.673 0.620
0.397 0.667 0.393
0.436 0.332 0.646
0.447 0.309 0.410
0.553 0.691 0.590
0.564 0.668 0.354
0.603 0.333 0.607
0.620 0.327 0.380
0.625 0.593 0.100
0.633 0.422 0.093
0.654 0.642 0.854
0.711 0.539 0.945
0.758 0.090 0.515
0.777 0.923 0.521
0.784 0.912 0.224
0.806 0.972 0.866
0.832 0.281 0.965
0.839 0.878 0.344
0.846 0.182 0.205
0.897 0.908 0.779
0.898 0.154 0.767
0.939 0.243 0.670
0.959 0.224 0.313
0.976 0.743 0.010
0.010 0.218 0.500
0.206 0.084 0.966
0.235 0.462 0.395
0.235 0.480 0.658
0.452 0.780 0.113
0.455 0.797 0.855
0.545 0.203 0.145
0.548 0.220 0.887
0.765 0.520 0.342
0.765 0.538 0.605
0.794 0.916 0.034
0.990 0.782 0.500
0.044 0.777 0.764
0.060 0.668 0.013
0.064 0.749 0.254
0.184 0.019 0.210
0.229 0.058 0.704
0.269 0.436 0.126
0.305 0.000 0.478
0.307 0.486 0.918
0.461 0.747 0.605
0.477 0.732 0.368
0.523 0.268 0.632
0.539 0.253 0.395
0.693 0.514 0.082
0.695 0.000 0.522
0.731 0.564 0.874
0.771 0.942 0.296
0.816 0.981 0.790
0.936 0.251 0.746
0.940 0.332 0.987
0.956 0.223 0.236
```

Properties
The value obtained for the density of states at the Fermi level is 0.0 states/eV/f.u. As for the space group: P-1.

Entry 2:
Entry from Alexandria via LeMat-Bulk: crystalline Sb2P4H3O16 at its relaxed geometry (PBE).

Geometry as POSCAR:
```
Sb2P4H3O16
1.0
4.889 0.000 0.000
-1.631 7.085 0.000
-0.003 -0.089 8.471
Sb P H O
2 4 3 16
Direct
0.000 0.000 0.000
0.499 0.511 0.493
0.074 0.774 0.660
0.384 0.731 0.144
0.607 0.265 0.849
0.921 0.243 0.330
0.330 0.062 0.602
0.663 0.959 0.394
0.954 0.486 0.982
0.119 0.835 0.836
0.177 0.591 0.630
0.211 0.550 0.080
0.211 0.892 0.162
0.234 0.283 0.376
0.243 0.935 0.555
0.358 0.194 0.964
0.494 0.283 0.681
0.499 0.722 0.317
0.646 0.807 0.036
0.755 0.085 0.438
0.760 0.738 0.616
0.776 0.457 0.908
0.799 0.117 0.836
0.811 0.425 0.352
0.881 0.175 0.155
```

Properties
The value obtained for the density of states at the Fermi level is 3.2 states/eV/f.u. As for the space group: P1.

Entry 3:
Entry from Alexandria via LeMat-Bulk: crystalline SbP2HO at its relaxed geometry (PBE).

Geometry as POSCAR:
```
SbP2HO
1.0
3.468 0.000 0.000
0.000 3.468 0.000
0.000 0.000 5.637
Sb P H O
1 2 1 1
Direct
0.000 0.000 0.000
0.000 0.500 0.500
0.500 0.000 0.500
0.500 0.500 0.500
0.500 0.500 0.000
```

Properties
The value obtained for the density of states at the Fermi level is 1.9 states/eV/f.u. As for the space group: P4/mmm. As for the relative energy among the computed polymorphs: 0.0 meV per atom.

Entry 4:
Entry from Alexandria via LeMat-Bulk: crystalline SbPHO5 at its relaxed geometry (PBE).

Geometry as POSCAR:
```
SbPHO5
1.0
5.261 0.000 0.000
-0.525 5.645 0.000
-2.222 -2.592 6.954
Sb P H O
2 2 2 10
Direct
0.000 0.000 0.000
0.500 0.500 0.500
0.086 0.398 0.733
0.914 0.602 0.267
0.443 0.787 0.792
0.557 0.213 0.208
0.164 0.236 0.857
0.188 0.686 0.847
0.210 0.325 0.565
0.230 0.666 0.361
0.404 0.196 0.261
0.596 0.804 0.739
0.770 0.334 0.639
0.790 0.675 0.435
0.812 0.314 0.153
0.836 0.764 0.143
```

Properties
The value obtained for the density of states at the Fermi level is 0.0 states/eV/f.u. As for the space group: P-1.

Entry 5:
Entry from Alexandria via LeMat-Bulk: crystalline SbP2HO at its relaxed geometry (PBE).

Geometry as POSCAR:
```
SbP2HO
1.0
5.182 0.000 0.000
0.000 5.182 0.000
0.000 0.000 4.016
Sb P H O
1 2 1 1
Direct
0.000 0.000 0.000
0.000 0.500 0.000
0.500 0.000 0.000
0.500 0.500 0.500
0.000 0.000 0.500
```

Properties
The value obtained for the density of states at the Fermi level is 3.5 states/eV/f.u. As for the space group: P4/mmm. As for the relative energy among the computed polymorphs: 720.7 meV per atom.

Entry 6:
Entry from Alexandria via LeMat-Bulk: crystalline Sb2P3H3O9 at its relaxed geometry (PBE).

Geometry as POSCAR:
```
Sb2P3H3O9
1.0
7.598 0.000 0.000
3.329 7.926 0.000
1.473 3.255 8.616
Sb P H O
4 6 6 18
Direct
0.006 0.004 0.269
0.326 0.348 0.409
0.674 0.652 0.591
0.994 0.996 0.731
0.227 0.720 0.059
0.242 0.617 0.632
0.444 0.003 0.266
0.556 0.997 0.734
0.758 0.383 0.368
0.773 0.280 0.941
0.169 0.517 0.769
0.419 0.664 0.010
0.497 0.992 0.886
0.503 0.008 0.114
0.581 0.336 0.990
0.831 0.483 0.231
0.105 0.767 0.917
0.126 0.820 0.593
0.191 0.561 0.190
0.192 0.887 0.098
0.218 0.566 0.497
0.220 0.090 0.265
0.453 0.563 0.675
0.479 0.876 0.696
0.485 0.196 0.629
0.515 0.804 0.371
0.521 0.124 0.304
0.547 0.437 0.325
0.780 0.910 0.735
0.782 0.434 0.503
0.808 0.113 0.902
0.809 0.439 0.810
0.874 0.180 0.407
0.895 0.233 0.083
```

Properties
The value obtained for the density of states at the Fermi level is 0.0 states/eV/f.u. As for the space group: P-1.

Entry 7:
Entry from Alexandria via LeMat-Bulk: crystalline ScP2H5O9 at its relaxed geometry (PBE).

Geometry as POSCAR:
```
ScP2H5O9
1.0
5.416 0.000 0.000
0.000 9.085 0.000
-1.640 0.000 14.864
Sc P H O
4 8 20 36
Direct
0.239 0.017 0.347
0.239 0.483 0.847
0.761 0.517 0.153
0.761 0.983 0.653
0.226 0.166 0.561
0.226 0.334 0.061
0.283 0.730 0.196
0.283 0.770 0.696
0.717 0.230 0.304
0.717 0.270 0.804
0.774 0.666 0.939
0.774 0.834 0.439
0.164 0.010 0.852
0.164 0.490 0.352
0.231 0.704 0.048
0.231 0.796 0.548
0.250 0.188 0.935
0.250 0.312 0.435
0.344 0.184 0.175
0.344 0.316 0.675
0.434 0.005 0.903
0.434 0.495 0.403
0.566 0.505 0.597
0.566 0.995 0.097
0.656 0.684 0.325
0.656 0.816 0.825
0.750 0.688 0.565
0.750 0.812 0.065
0.769 0.204 0.452
0.769 0.296 0.952
0.836 0.510 0.648
0.836 0.990 0.148
0.041 0.619 0.929
0.041 0.881 0.429
0.087 0.613 0.211
0.087 0.887 0.711
0.240 0.628 0.746
0.240 0.872 0.246
0.244 0.199 0.457
0.244 0.301 0.957
0.261 0.719 0.594
0.261 0.781 0.094
0.264 0.039 0.907
0.264 0.461 0.407
0.290 0.180 0.107
0.290 0.320 0.607
0.418 0.050 0.590
0.418 0.450 0.090
0.450 0.172 0.277
0.450 0.328 0.777
0.550 0.672 0.223
0.550 0.828 0.723
0.582 0.550 0.910
0.582 0.950 0.410
0.710 0.680 0.393
0.710 0.820 0.893
0.736 0.539 0.593
0.736 0.961 0.093
0.739 0.219 0.906
0.739 0.281 0.406
0.756 0.699 0.043
0.756 0.801 0.543
0.760 0.128 0.754
0.760 0.372 0.254
0.913 0.113 0.289
0.913 0.387 0.789
0.959 0.119 0.571
0.959 0.381 0.071
```

Properties
The value obtained for the density of states at the Fermi level is 0.0 states/eV/f.u. As for the space group: P2_1/c.

Entry 8:
Entry from Alexandria via LeMat-Bulk: crystalline ScP2HO at its relaxed geometry (PBE).

Geometry as POSCAR:
```
ScP2HO
1.0
5.167 0.000 0.000
0.000 5.167 0.000
0.000 0.000 3.882
Sc P H O
1 2 1 1
Direct
0.000 0.000 0.000
0.000 0.500 0.000
0.500 0.000 0.000
0.500 0.500 0.500
0.000 0.000 0.500
```

Properties
The value obtained for the density of states at the Fermi level is 3.4 states/eV/f.u. As for the space group: P4/mmm. As for the relative energy among the computed polymorphs: 950.8 meV per atom.

Entry 9:
Entry from Alexandria via LeMat-Bulk: crystalline ScP2HO at its relaxed geometry (PBE).

Geometry as POSCAR:
```
ScP2HO
1.0
3.337 0.000 0.000
0.000 3.337 0.000
0.000 0.000 5.298
Sc P H O
1 2 1 1
Direct
0.000 0.000 0.000
0.000 0.500 0.500
0.500 0.000 0.500
0.500 0.500 0.500
0.500 0.500 0.000
```

Properties
The value obtained for the density of states at the Fermi level is 1.6 states/eV/f.u. As for the space group: P4/mmm. As for the relative energy among the computed polymorphs: 0.0 meV per atom.

Entry 10:
Entry from Alexandria via LeMat-Bulk: crystalline SiPHO5 at its relaxed geometry (PBE).

Geometry as POSCAR:
```
SiPHO5
1.0
6.908 0.000 0.000
0.000 7.015 0.000
-3.483 0.000 6.030
Si P H O
4 4 4 20
Direct
0.249 0.250 0.000
0.249 0.250 0.500
0.751 0.750 0.000
0.751 0.750 0.500
0.250 0.617 0.250
0.250 0.883 0.750
0.750 0.117 0.250
0.750 0.383 0.750
0.240 0.025 0.245
0.240 0.475 0.745
0.760 0.525 0.255
0.760 0.975 0.755
0.050 0.746 0.649
0.050 0.754 0.149
0.247 0.011 0.929
0.247 0.489 0.429
0.248 0.165 0.249
0.248 0.335 0.749
0.251 0.011 0.570
0.251 0.489 0.070
0.452 0.748 0.852
0.452 0.752 0.352
0.548 0.248 0.648
0.548 0.252 0.148
0.749 0.511 0.930
0.749 0.989 0.430
0.752 0.665 0.251
0.752 0.835 0.751
0.753 0.511 0.571
0.753 0.989 0.071
0.950 0.246 0.851
0.950 0.254 0.351
```

Properties
The value obtained for the density of states at the Fermi level is 0.0 states/eV/f.u. As for the space group: P2_1/c.

Entry 11:
Entry from Alexandria via LeMat-Bulk: crystalline SnP2H2O8 at its relaxed geometry (PBE).

Geometry as POSCAR:
```
SnP2H2O8
1.0
7.532 -4.473 0.000
7.532 4.473 0.000
-0.468 0.000 4.953
Sn P H O
2 4 4 16
Direct
0.126 0.874 0.750
0.874 0.126 0.250
0.069 0.665 0.217
0.335 0.931 0.283
0.665 0.069 0.717
0.931 0.335 0.783
0.139 0.413 0.840
0.413 0.139 0.340
0.587 0.861 0.660
0.861 0.587 0.160
0.003 0.147 0.925
0.096 0.341 0.708
0.147 0.003 0.425
0.170 0.674 0.487
0.185 0.529 0.020
0.326 0.830 0.013
0.341 0.096 0.208
0.471 0.815 0.480
0.529 0.185 0.520
0.659 0.904 0.792
0.674 0.170 0.987
0.815 0.471 0.980
0.830 0.326 0.513
0.853 0.997 0.575
0.904 0.659 0.292
0.997 0.853 0.075
```

Properties
The value obtained for the density of states at the Fermi level is 0.0 states/eV/f.u. As for the space group: C2/c.

Entry 12:
Entry from Alexandria via LeMat-Bulk: crystalline SnPHO4 at its relaxed geometry (PBE).

Geometry as POSCAR:
```
SnPHO4
1.0
4.692 0.000 0.000
0.000 14.003 0.000
-0.993 0.000 5.871
Sn P H O
4 4 4 16
Direct
0.031 0.163 0.086
0.031 0.337 0.586
0.969 0.663 0.414
0.969 0.837 0.914
0.455 0.650 0.952
0.455 0.850 0.452
0.545 0.150 0.548
0.545 0.350 0.048
0.410 0.012 0.691
0.410 0.488 0.191
0.590 0.512 0.809
0.590 0.988 0.309
0.217 0.715 0.816
0.217 0.785 0.316
0.282 0.214 0.443
0.282 0.286 0.943
0.355 0.592 0.141
0.355 0.908 0.641
0.451 0.083 0.737
0.451 0.417 0.237
0.549 0.583 0.763
0.549 0.917 0.263
0.645 0.092 0.359
0.645 0.408 0.859
0.718 0.714 0.057
0.718 0.786 0.557
0.783 0.215 0.684
0.783 0.285 0.184
```

Properties
The value obtained for the density of states at the Fermi level is 0.0 states/eV/f.u. As for the space group: P2_1/c.

Computed values of E_tot (unit: eV/atom) for the preceding records, in sequence: -4.957; -6.473; -4.295; -6.362; -3.574; -6.170; -6.547; -4.692; -5.643; -6.998; -6.414; -6.415.